Entry 1:
Here is an optimized crystal structure of Li2Ac3Se6 from Alexandria. Energies are from PBE-GGA.

abc: 4.868 4.868 12.908
angles: 100.87 100.87 90.00
Sites, in units of the cell vectors:
Se 0.705 0.705 0.410
Se 0.295 0.295 0.590
Se 0.418 0.918 0.836
Se 0.918 0.418 0.836
Se 0.082 0.582 0.164
Se 0.582 0.082 0.164
Li 0.605 0.605 0.210
Li 0.395 0.395 0.790
Ac 0.000 0.000 0.000
Ac 0.172 0.172 0.344
Ac 0.828 0.828 0.656

E: -5.007 eV/atom
raw formation energy: -1.6383 eV per atom

=====

Entry 2:
Here is an optimized crystal structure of TiBeNF2 from Alexandria. Energies are from PBE-GGA.

abc: 3.085 3.085 5.689
angles: 90.00 90.00 90.00
Sites, in units of the cell vectors:
F 0.500 0.000 0.000
F 0.000 0.500 0.000
Ti 0.500 0.500 0.500
N 0.000 0.000 0.500
Be 0.000 0.000 0.000

E: -6.542 eV/atom
distance to the lowest polymorph of the same formula: 0.00 kJ/mol of atoms
raw formation energy: -1.8037 eV per atom

=====

Entry 3:
Here is an optimized crystal structure of ReTcIrRu2 from Alexandria. Energies are from PBE-GGA.

abc: 4.544 4.670 4.544
angles: 90.00 90.00 90.00
Sites, in units of the cell vectors:
Tc 0.000 0.000 0.000
Ir 0.000 0.500 0.000
Re 0.500 0.500 0.500
Ru 0.500 0.000 0.000
Ru 0.000 0.000 0.500

E_form: 2.138 eV per atom
E: -7.908 eV/atom

=====

Entry 4:
Here is an optimized crystal structure of YBeHg2 from Alexandria. Energies are from PBE-GGA.

abc: 5.957 5.957 3.400
angles: 75.33 75.33 118.70
Sites, in units of the cell vectors:
Hg 0.500 0.500 0.000
Hg 0.000 0.000 0.000
Y 0.500 0.000 0.500
Be 0.000 0.500 0.500

E_form: 0.252 eV per atom
E: -2.446 eV/atom

=====

Entry 5:
Here is an optimized crystal structure of Er5Ir4Pd from Alexandria. Energies are from PBE-GGA.

abc: 3.361 3.361 17.571
angles: 90.00 90.00 90.00
Sites, in units of the cell vectors:
Ir 0.000 0.000 0.401
Ir 0.000 0.000 0.799
Ir 0.000 0.000 0.201
Ir 0.000 0.000 0.599
Er 0.500 0.500 0.698
Er 0.500 0.500 0.302
Er 0.500 0.500 0.105
Er 0.500 0.500 0.895
Er 0.500 0.500 0.500
Pd 0.000 0.000 0.000

E_form: -0.898 eV per atom
E: -7.243 eV/atom

=====

Entry 6:
Here is an optimized crystal structure of ZnCuRh2 from Alexandria. Energies are from PBE-GGA.

abc: 4.738 5.115 2.688
angles: 76.09 87.23 116.77
Sites, in units of the cell vectors:
Rh 0.500 0.000 0.500
Rh 0.000 0.000 0.000
Zn 0.000 0.500 0.500
Cu 0.500 0.500 0.000

E_form: -0.040 eV per atom
E: -5.058 eV/atom

=====

Entry 7:
Here is an optimized crystal structure of SmTm6Sc2 from Alexandria. Energies are from PBE-GGA.

abc: 3.593 6.478 12.364
angles: 74.69 81.65 73.90
Sites, in units of the cell vectors:
Tm 0.707 0.476 0.110
Tm 0.293 0.524 0.890
Tm 0.356 0.761 0.526
Tm 0.027 0.646 0.300
Tm 0.973 0.354 0.700
Tm 0.644 0.239 0.474
Sc 0.323 0.091 0.263
Sc 0.677 0.909 0.737
Sm 0.000 0.000 0.000

E_form: 0.073 eV per atom
E: -4.840 eV/atom
distance to the lowest polymorph of the same formula: 1.36 kJ/mol of atoms

=====

Entry 8:
Here is an optimized crystal structure of MnZnAs2Br from Alexandria. Energies are from PBE-GGA.

abc: 4.780 4.780 5.418
angles: 90.00 90.00 90.00
Sites, in units of the cell vectors:
As 0.500 0.000 0.000
As 0.000 0.500 0.000
Mn 0.500 0.500 0.500
Zn 0.000 0.000 0.000
Br 0.000 0.000 0.500

E: -3.610 eV/atom
distance to the lowest polymorph of the same formula: 33.92 kJ/mol of atoms
raw formation energy: 0.6731 eV per atom

=====

Entry 9:
Here is an optimized crystal structure of Y4Re2Ni from Alexandria. Energies are from PBE-GGA.

abc: 5.342 5.342 7.535
angles: 69.24 69.24 90.00
Sites, in units of the cell vectors:
Y 0.500 0.000 0.000
Y 0.000 0.500 0.000
Y 0.799 0.799 0.403
Y 0.201 0.201 0.597
Re 0.592 0.592 0.816
Re 0.408 0.408 0.184
Ni 0.000 0.000 0.000

E_form: 0.495 eV per atom
E: -7.581 eV/atom

=====

Entry 10:
Here is an optimized crystal structure of LaPaTcPd from Alexandria. Energies are from PBE-GGA.

abc: 4.997 4.997 4.997
angles: 60.00 60.00 60.00
Sites, in units of the cell vectors:
Tc 0.000 0.000 0.000
La 0.250 0.250 0.250
Pa 0.750 0.750 0.750
Pd 0.500 0.500 0.500

E_form: -0.184 eV per atom
E: -7.679 eV/atom

=====

Entry 11:
Here is an optimized crystal structure of Pm2MnAlS6 from Alexandria. Energies are from PBE-GGA.

abc: 6.283 7.153 9.056
angles: 90.00 90.17 90.00
Sites, in units of the cell vectors:
Pm 0.459 0.389 0.250
Pm 0.041 0.889 0.250
Pm 0.541 0.611 0.750
Pm 0.959 0.111 0.750
S 0.116 0.482 0.747
S 0.686 0.324 0.551
S 0.384 0.982 0.753
S 0.814 0.824 0.949
S 0.191 0.169 0.448
S 0.809 0.831 0.552
S 0.691 0.331 0.948
S 0.884 0.518 0.253
S 0.186 0.176 0.051
S 0.314 0.676 0.449
S 0.309 0.669 0.052
S 0.616 0.018 0.247
Al 0.500 0.000 0.500
Al 0.000 0.500 0.000
Mn 0.500 0.000 0.000
Mn 0.000 0.500 0.500

E: -6.142 eV/atom
raw formation energy: -1.4240 eV per atom

=====

Entry 12:
Here is an optimized crystal structure of Mn2TeCl from Alexandria. Energies are from PBE-GGA.

abc: 4.931 4.374 4.438
angles: 81.02 90.00 90.00
Sites, in units of the cell vectors:
Cl 0.500 0.850 0.884
Mn 0.000 0.967 0.009
Mn 0.500 0.302 0.183
Te 0.000 0.381 0.424

E: -5.945 eV/atom
distance to the lowest polymorph of the same formula: 3.84 kJ/mol of atoms
raw formation energy: -0.1133 eV per atom

=====

Entry 13:
Here is an optimized crystal structure of HfNb3C4 from Alexandria. Energies are from PBE-GGA.

abc: 3.206 5.563 5.563
angles: 70.32 90.00 90.00
Sites, in units of the cell vectors:
Hf 0.500 0.500 0.000
C 0.000 0.753 0.747
C 0.500 0.249 0.748
C 0.500 0.752 0.252
C 0.000 0.247 0.253
Nb 0.000 0.000 0.000
Nb 0.500 0.000 0.500
Nb 0.000 0.500 0.500

E_form: -0.606 eV per atom
E: -10.238 eV/atom
distance to the lowest polymorph of the same formula: 0.57 kJ/mol of atoms

=====

Entry 14:
Here is an optimized crystal structure of BaSi2Te from Alexandria. Energies are from PBE-GGA.

abc: 7.984 7.984 6.907
angles: 54.69 54.69 90.00
Sites, in units of the cell vectors:
Si 0.553 0.125 0.250
Si 0.375 0.447 0.750
Si 0.875 0.803 0.750
Si 0.197 0.625 0.250
Ba 0.750 0.250 0.500
Ba 0.000 0.000 0.000
Te 0.250 0.750 0.500
Te 0.500 0.500 0.000

E: -3.793 eV/atom
raw formation energy: 0.1845 eV per atom

=====

Entry 15:
Here is an optimized crystal structure of TlCu2TeO6 from Alexandria. Energies are from PBE-GGA.

abc: 5.407 5.406 5.796
angles: 62.04 62.05 59.91
Sites, in units of the cell vectors:
O 0.941 0.583 0.234
O 0.586 0.241 0.232
O 0.144 0.375 0.769
O 0.242 0.941 0.234
O 0.373 0.714 0.771
O 0.713 0.144 0.769
Te 0.321 0.321 0.036
Cu 0.010 0.012 0.966
Cu 0.530 0.529 0.410
Tl 0.802 0.802 0.593

E: -5.022 eV/atom
raw formation energy: -0.6767 eV per atom

=====

Entry 16:
Here is an optimized crystal structure of Pr2NdIn from Alexandria. Energies are from PBE-GGA.

abc: 3.694 3.694 9.630
angles: 90.00 90.00 90.00
Sites, in units of the cell vectors:
Nd 0.500 0.500 0.500
Pr 0.000 0.000 0.224
Pr 0.000 0.000 0.776
In 0.500 0.500 0.000

E_form: -0.221 eV per atom
E: -4.487 eV/atom
distance to the lowest polymorph of the same formula: 5.28 kJ/mol of atoms

=====

Entry 17:
Here is an optimized crystal structure of Fe2SiPt from Alexandria. Energies are from PBE-GGA.

abc: 8.348 8.348 8.348
angles: 18.44 18.44 18.44
Sites, in units of the cell vectors:
Fe 0.007 0.007 0.007
Fe 0.493 0.493 0.493
Pt 0.250 0.250 0.250
Si 0.750 0.750 0.750

E: -7.243 eV/atom
raw formation energy: -0.1455 eV per atom

=====

Entry 18:
Here is an optimized crystal structure of Zn3Ag from Alexandria. Energies are from PBE-GGA.

abc: 4.809 4.809 11.137
angles: 149.94 149.94 35.63
Sites, in units of the cell vectors:
Ag 0.000 0.000 0.000
Zn 0.011 0.011 0.258
Zn 0.989 0.989 0.742
Zn 0.000 0.000 0.500

E_form: 0.011 eV per atom
E: -1.658 eV/atom

=====

Entry 19:
Here is an optimized crystal structure of SrZnNi3 from Alexandria. Energies are from PBE-GGA.

abc: 4.520 4.520 4.520
angles: 90.00 90.00 90.00
Sites, in units of the cell vectors:
Ni 0.000 0.500 0.000
Ni 0.500 0.000 0.000
Ni 0.000 0.000 0.500
Sr 0.500 0.500 0.500
Zn 0.000 0.000 0.000

E_form: 0.335 eV per atom
E: -3.725 eV/atom
distance to the lowest polymorph of the same formula: 0.00 kJ/mol of atoms

=====

Entry 20:
Here is an optimized crystal structure of ZnPPb2 from Alexandria. Energies are from PBE-GGA.

abc: 3.420 3.420 8.874
angles: 90.00 90.00 108.89
Sites, in units of the cell vectors:
P 0.500 0.500 0.304
Zn 0.000 0.000 0.448
Pb 0.500 0.500 0.707
Pb 0.000 0.000 0.040

E_form: 0.227 eV per atom
E: -3.298 eV/atom
distance to the lowest polymorph of the same formula: 13.94 kJ/mol of atoms